Record 1
# LiScPd2

Crystalline LiScPd2 at its relaxed geometry (PBE-GGA, the Alexandria database).

Output
The calculated density is 6.8 g/cm3. For the formation energy, the calculation gives -725 meV/atom. The value obtained for the total magnetization is 0.0 Bohr magnetons per cell. The value obtained for the total energy is -5.38 eV/atom.

a = 4.4950 Å, b = 4.4950 Å, c = 4.4950 Å
α = 60.00°, β = 60.00°, γ = 60.00°
Closest atoms and distances in Å follow each position.
Fractional positions:
Li (0.0000, 0.0000, 0.0000)  8 Pd 2.75
Sc (0.5000, 0.5000, 0.5000)  8 Pd 2.75
Pd (0.7500, 0.7500, 0.7500)  4 Li 2.75, 4 Sc 2.75
Pd (0.2500, 0.2500, 0.2500)  4 Li 2.75, 4 Sc 2.75

=====

Record 2
# CaSb2Ru

Crystalline CaSb2Ru at its relaxed geometry (PBE-GGA, the Alexandria database).

Output
The calculated density is 6.8 g/cm3. The value obtained for the total magnetization is 0.0 Bohr magnetons per cell. The value obtained for the total energy is -4.98 eV/atom. As for the uncorrected formation energy: -0.38 eV/f.u.

a = 5.2094 Å, b = 3.4060 Å, c = 5.3057 Å
α = 89.98°, β = 90.00°, γ = 90.00°
Closest atoms and distances in Å follow each position.
Fractional positions:
Ru (0.5000, 0.0006, 0.7724)  4 Sb 2.61-2.79
Sb (0.5000, 0.0000, 0.2801)  2 Ru 2.61-2.69
Sb (0.0000, 0.9995, 0.9624)  2 Ru 2.79, 2 Ca 3.05, 2 Sb 3.10
Ca (0.0000, 0.4999, 0.4850)  8 Sb 3.05-3.30, 2 Ca 3.41

=====

Record 3
# RbTl2ZnSn

Crystalline RbTl2ZnSn at its relaxed geometry (PBE-GGA, the Alexandria database).

Output
The calculated density is 6.5 g/cm3. For the formation energy, the calculation gives 101 meV/atom. The value obtained for the total magnetization is 0.0 Bohr magnetons per cell. The value obtained for the total energy is -2.09 eV/atom.

a = 5.7708 Å, b = 5.7708 Å, c = 5.2093 Å
α = 90.00°, β = 90.00°, γ = 90.00°
Closest atoms and distances in Å follow each position.
Fractional positions:
Tl (0.0000, 0.5000, 0.0000)  2 Zn 2.89
Tl (0.5000, 0.0000, 0.0000)  2 Zn 2.89
Zn (0.0000, 0.0000, 0.0000)  2 Sn 2.60, 4 Tl 2.89
Sn (0.0000, 0.0000, 0.5000)  2 Zn 2.60
Rb (0.5000, 0.5000, 0.5000)  8 Tl 3.89, 4 Sn 4.08

=====

Record 4
# CrNiPt2I

Crystalline CrNiPt2I at its relaxed geometry (PBE-GGA, the Alexandria database).

Output
The calculated density is 10.4 g/cm3. The value obtained for the total magnetization is 2.9 Bohr magnetons per cell. The value obtained for the total energy is -4.76 eV/atom. As for the uncorrected formation energy: 5.23 eV/f.u.

a = 4.7489 Å, b = 4.4313 Å, c = 4.7489 Å
α = 90.00°, β = 90.00°, γ = 90.00°
Closest atoms and distances in Å follow each position.
Fractional positions:
Ni (0.0000, 0.5000, 0.0000)  2 Cr 2.22
Cr (0.0000, 0.0000, 0.0000)  2 Ni 2.22, 4 Pt 2.37
Pt (0.5000, 0.0000, 0.0000)  2 Cr 2.37
Pt (0.0000, 0.0000, 0.5000)  2 Cr 2.37
I (0.5000, 0.5000, 0.5000)  8 Pt 3.25, 4 Ni 3.36

=====

Record 5
# Cs4DyEr3Se8

Crystalline Cs4DyEr3Se8 at its relaxed geometry (PBE-GGA, the Alexandria database).

Output
The calculated density is 5.8 g/cm3. The value obtained for the total magnetization is 0.0 Bohr magnetons per cell. The value obtained for the total energy is -4.82 eV/atom. As for the uncorrected formation energy: -27.52 eV/f.u.

a = 8.4840 Å, b = 9.6981 Å, c = 8.4863 Å
α = 115.97°, β = 119.99°, γ = 90.00°
Closest atoms and distances in Å follow each position.
Fractional positions:
Er (0.5000, 0.5000, 0.5000)  6 Se 2.89
Er (0.5000, 0.5000, 0.0000)  6 Se 2.89
Er (0.0000, 0.5000, 0.5000)  6 Se 2.89
Se (0.7709, 0.3155, 0.0444)  2 Er 2.89, 1 Dy 2.91
Se (0.7709, 0.3155, 0.5418)  2 Er 2.89, 1 Dy 2.91
Se (0.2735, 0.3155, 0.0444)  2 Er 2.89, 1 Dy 2.91
Se (0.2720, 0.3162, 0.5440)  3 Er 2.89
Se (0.2291, 0.6845, 0.9556)  2 Er 2.89, 1 Dy 2.91
Se (0.2291, 0.6845, 0.4582)  2 Er 2.89, 1 Dy 2.91
Se (0.7280, 0.6838, 0.4560)  3 Er 2.89
Se (0.7265, 0.6845, 0.9556)  2 Er 2.89, 1 Dy 2.91
Cs (0.5000, 0.0000, 0.0000)  6 Se 3.59
Cs (0.0000, 0.0000, 0.0000)  6 Se 3.60-3.61
Cs (0.5000, 0.0000, 0.5000)  6 Se 3.60-3.61
Cs (0.0000, 0.0000, 0.5000)  6 Se 3.60-3.61
Dy (0.0000, 0.5000, 0.0000)  6 Se 2.91

=====

Record 6
# Tl12HgSb6

Crystalline Tl12HgSb6 at its relaxed geometry (PBE-GGA, the Alexandria database).

Output
The calculated density is 9.0 g/cm3. The value obtained for the total magnetization is 0.0 Bohr magnetons per cell. The value obtained for the total energy is -2.80 eV/atom. As for the uncorrected formation energy: 0.18 eV/f.u.

a = 9.3363 Å, b = 9.3363 Å, c = 9.3363 Å
α = 109.47°, β = 109.47°, γ = 109.47°
Closest atoms and distances in Å follow each position.
Fractional positions:
Tl (0.1930, 0.7332, 0.9262)  1 Sb 3.15
Tl (0.9262, 0.1930, 0.7332)  1 Sb 3.15
Tl (0.7332, 0.5402, 0.8070)  1 Sb 3.15
Tl (0.1930, 0.2668, 0.4598)  1 Sb 3.15
Tl (0.2668, 0.0738, 0.8070)  1 Sb 3.15
Tl (0.8070, 0.7332, 0.5402)  1 Sb 3.15
Tl (0.0738, 0.8070, 0.2668)  1 Sb 3.15
Tl (0.5402, 0.8070, 0.7332)  1 Sb 3.15
Tl (0.2668, 0.4598, 0.1930)  1 Sb 3.15
Tl (0.8070, 0.2668, 0.0738)  1 Sb 3.15
Tl (0.4598, 0.1930, 0.2668)  1 Sb 3.15
Tl (0.7332, 0.9262, 0.1930)  1 Sb 3.15
Sb (0.8685, 0.3685, 0.5000)  1 Sb 2.84, 2 Tl 3.15
Sb (0.3685, 0.5000, 0.8685)  1 Sb 2.84, 2 Tl 3.15
Sb (0.1315, 0.6315, 0.5000)  1 Sb 2.84, 2 Tl 3.15
Sb (0.5000, 0.1315, 0.6315)  1 Sb 2.84, 2 Tl 3.15
Sb (0.5000, 0.8685, 0.3685)  1 Sb 2.84, 2 Tl 3.15
Sb (0.6315, 0.5000, 0.1315)  1 Sb 2.84, 2 Tl 3.15
Hg (0.0000, 0.0000, 0.0000)  12 Tl 3.55

=====

Record 7
# Li8Ca3Mg2

Crystalline Li8Ca3Mg2 at its relaxed geometry (PBE-GGA, the Alexandria database).

Output
The calculated density is 1.1 g/cm3. For the formation energy, the calculation gives 128 meV/atom. The value obtained for the total magnetization is 0.0 Bohr magnetons per cell. The value obtained for the total energy is -1.76 eV/atom.

a = 5.7317 Å, b = 5.7317 Å, c = 12.6524 Å
α = 76.91°, β = 76.91°, γ = 60.00°
Closest atoms and distances in Å follow each position.
Fractional positions:
Mg (0.6026, 0.6026, 0.1922)  1 Li 2.70
Mg (0.3974, 0.3974, 0.8078)  1 Li 2.70
Ca (0.7584, 0.7584, 0.7248)  7 Li 3.00-3.30
Ca (0.2416, 0.2416, 0.2752)  7 Li 3.00-3.30
Ca (0.0000, 0.0000, 0.0000)  6 Li 3.33
Li (0.1912, 0.6998, 0.4093)  6 Li 2.78-2.92
Li (0.3236, 0.3236, 0.0292)  1 Mg 2.70, 1 Ca 3.00
Li (0.3002, 0.8088, 0.5907)  6 Li 2.78-2.92
Li (0.6998, 0.1912, 0.4093)  6 Li 2.78-2.92
Li (0.6764, 0.6764, 0.9708)  1 Mg 2.70, 1 Ca 3.00
Li (0.6998, 0.6998, 0.4093)  6 Li 2.78-2.92
Li (0.3002, 0.3002, 0.5907)  6 Li 2.78-2.92
Li (0.8088, 0.3002, 0.5907)  6 Li 2.78-2.92

=====

Record 8
# Cs2YI6

Crystalline Cs2YI6 at its relaxed geometry (PBE-GGA, the Alexandria database).

Output
The calculated density is 4.2 g/cm3. The value obtained for the total magnetization is 0.0 Bohr magnetons per cell. The value obtained for the total energy is -3.21 eV/atom. As for the uncorrected formation energy: -11.43 eV/f.u.

a = 8.4535 Å, b = 8.4535 Å, c = 14.1301 Å
α = 90.00°, β = 90.00°, γ = 120.00°
Closest atoms and distances in Å follow each position.
Fractional positions:
I (0.8369, 0.6738, 0.8731)  1 Y 3.03
I (0.0004, 0.5002, 0.6254)  1 Y 3.02
I (0.9996, 0.4998, 0.1254)  1 Y 3.02
I (0.3262, 0.1631, 0.8731)  1 Y 3.03
I (0.4998, 0.9996, 0.6254)  1 Y 3.02
I (0.4998, 0.5002, 0.6254)  1 Y 3.02
I (0.6738, 0.8369, 0.3731)  1 Y 3.03
I (0.5002, 0.0004, 0.1254)  1 Y 3.02
I (0.5002, 0.4998, 0.1254)  1 Y 3.02
I (0.1631, 0.8369, 0.3731)  1 Y 3.03
I (0.8369, 0.1631, 0.8731)  1 Y 3.03
I (0.1631, 0.3262, 0.3731)  1 Y 3.03
Cs (0.3333, 0.6667, 0.8758)  12 I 4.23-4.30
Cs (0.0000, 0.0000, 0.6275)  12 I 4.21-4.32
Cs (0.0000, 0.0000, 0.1275)  12 I 4.21-4.32
Cs (0.6667, 0.3333, 0.3758)  12 I 4.23-4.30
Y (0.3333, 0.6667, 0.2514)  6 I 3.02-3.03
Y (0.6667, 0.3333, 0.7514)  6 I 3.02-3.03

=====

Record 9
# Ho4GaCu

Crystalline Ho4GaCu at its relaxed geometry (PBE-GGA, the Alexandria database).

Output
The calculated density is 7.9 g/cm3. For the formation energy, the calculation gives -99 meV/atom. The value obtained for the total magnetization is 0.0 Bohr magnetons per cell. The value obtained for the total energy is -4.34 eV/atom.

a = 6.7336 Å, b = 7.0687 Å, c = 7.0403 Å
α = 90.00°, β = 93.42°, γ = 90.00°
Closest atoms and distances in Å follow each position.
Fractional positions:
Ga (0.0000, 0.0000, 0.0000)  6 Ho 2.87-2.97
Ga (0.5000, 0.5000, 0.0000)  6 Ho 2.87-2.97
Ho (0.6711, 0.6614, 0.6567)  2 Cu 2.78-2.85, 1 Ga 2.97
Ho (0.8737, 0.6538, 0.1667)  1 Cu 2.68, 2 Ga 2.87-2.92
Ho (0.1711, 0.8386, 0.6567)  2 Cu 2.78-2.85, 1 Ga 2.97
Ho (0.8289, 0.1614, 0.3433)  2 Cu 2.78-2.85, 1 Ga 2.97
Ho (0.1263, 0.3462, 0.8333)  1 Cu 2.68, 2 Ga 2.87-2.92
Ho (0.6263, 0.1538, 0.8333)  1 Cu 2.68, 2 Ga 2.87-2.92
Ho (0.3737, 0.8462, 0.1667)  1 Cu 2.68, 2 Ga 2.87-2.92
Ho (0.3289, 0.3386, 0.3433)  2 Cu 2.78-2.85, 1 Ga 2.97
Cu (0.5000, 0.0000, 0.5000)  6 Ho 2.68-2.85
Cu (0.0000, 0.5000, 0.5000)  6 Ho 2.68-2.85

=====

Record 10
# SbPb3I

Crystalline SbPb3I at its relaxed geometry (PBE-GGA, the Alexandria database).

Output
The calculated density is 6.5 g/cm3. The value obtained for the total magnetization is 0.0 Bohr magnetons per cell. The value obtained for the total energy is -2.99 eV/atom. As for the uncorrected formation energy: 1.87 eV/f.u.

a = 6.0488 Å, b = 6.0488 Å, c = 6.0488 Å
α = 90.00°, β = 90.00°, γ = 90.00°
Closest atoms and distances in Å follow each position.
Fractional positions:
Pb (0.0000, 0.0000, 0.5000)  2 Sb 3.02
Pb (0.5000, 0.0000, 0.0000)  2 Sb 3.02
Pb (0.0000, 0.5000, 0.0000)  2 Sb 3.02
Sb (0.0000, 0.0000, 0.0000)  6 Pb 3.02
I (0.5000, 0.5000, 0.5000)  12 Pb 4.28

=====

Record 11
# Mn2PtPb

Crystalline Mn2PtPb at its relaxed geometry (PBE-GGA, the Alexandria database).

Output
The calculated density is 12.3 g/cm3. For the formation energy, the calculation gives 166 meV/atom. The value obtained for the total magnetization is 7.5 Bohr magnetons per cell. The value obtained for the total energy is -6.86 eV/atom.

a = 6.5832 Å, b = 4.8031 Å, c = 3.1161 Å
α = 90.01°, β = 61.74°, γ = 122.12°
Closest atoms and distances in Å follow each position.
Fractional positions:
Mn (0.0000, 0.0000, 0.0000)  4 Pb 2.86, 4 Pt 2.86, 4 Mn 2.90-3.12
Mn (0.5000, 0.0000, 0.5000)  4 Pt 2.86, 4 Pb 2.86, 4 Mn 2.90-3.12
Pb (0.0000, 0.5000, 0.5000)  8 Mn 2.86, 2 Pt 2.90, 2 Pb 3.12
Pt (0.5000, 0.5000, 0.0000)  8 Mn 2.86, 2 Pb 2.90, 2 Pt 3.12

=====

Record 12
# KTlWS4

Crystalline KTlWS4 at its relaxed geometry (PBE-GGA, the Alexandria database).

Output
The calculated density is 4.2 g/cm3. The value obtained for the total magnetization is 0.0 Bohr magnetons per cell. The value obtained for the total energy is -5.45 eV/atom. As for the uncorrected formation energy: -5.23 eV/f.u.

a = 7.0600 Å, b = 6.9749 Å, c = 9.4510 Å
α = 90.00°, β = 107.72°, γ = 90.00°
Closest atoms and distances in Å follow each position.
Fractional positions:
W (0.8019, 0.2500, 0.7153)  4 S 2.20-2.22
W (0.1981, 0.7500, 0.2847)  4 S 2.20-2.22
S (0.9979, 0.9968, 0.7841)  1 W 2.22
S (0.0021, 0.0032, 0.2159)  1 W 2.22
S (0.0021, 0.4968, 0.2159)  1 W 2.22
S (0.9979, 0.5032, 0.7841)  1 W 2.22
S (0.5771, 0.2500, 0.8336)  1 W 2.20
S (0.6657, 0.2500, 0.4721)  1 W 2.20
S (0.3343, 0.7500, 0.5279)  1 W 2.20
S (0.4229, 0.7500, 0.1664)  1 W 2.20
Tl (0.2679, 0.2500, 0.0576)  5 S 3.23-3.47
Tl (0.7321, 0.7500, 0.9424)  5 S 3.23-3.47
K (0.7831, 0.7500, 0.4727)  6 S 3.22-3.58
K (0.2169, 0.2500, 0.5273)  6 S 3.22-3.58

=====

- Look up the total magnetization of the second one.
  0.0 Bohr magnetons per cell

=====

What did the second record say?
# CaSb2Ru

Crystalline CaSb2Ru at its relaxed geometry (PBE-GGA, the Alexandria database).

Output
The calculated density is 6.8 g/cm3. The value obtained for the total magnetization is 0.0 Bohr magnetons per cell. The value obtained for the total energy is -4.98 eV/atom. As for the uncorrected formation energy: -0.38 eV/f.u.

a = 5.2094 Å, b = 3.4060 Å, c = 5.3057 Å
α = 89.98°, β = 90.00°, γ = 90.00°
Closest atoms and distances in Å follow each position.
Fractional positions:
Ru (0.5000, 0.0006, 0.7724)  4 Sb 2.61-2.79
Sb (0.5000, 0.0000, 0.2801)  2 Ru 2.61-2.69
Sb (0.0000, 0.9995, 0.9624)  2 Ru 2.79, 2 Ca 3.05, 2 Sb 3.10
Ca (0.0000, 0.4999, 0.4850)  8 Sb 3.05-3.30, 2 Ca 3.41

=====

- What is the calculated density in the third record?
  6.5 g/cm3